# LaMn2Rh, optimized geometry, DFT PBE
# uncorrected energy = -7.651 eV per atom
# N(E_F) = 0.80 states/eV/atom
# energy relative to the elements = 0.00 eV per atom
data_LaMn2Rh
_symmetry_space_group_name_H-M 'C 1 2/m 1'
_symmetry_Int_Tables_number 12
_symmetry_space_group_name_Hall '-C 2y'
_cell_length_a 7.425
_cell_length_b 4.286
_cell_length_c 5.670
_cell_angle_alpha 90.00
_cell_angle_beta 115.79
_cell_angle_gamma 90.00
loop_
_atom_site_label
_atom_site_type_symbol
_atom_site_fract_x
_atom_site_fract_y
_atom_site_fract_z
_atom_site_occupancy
La1 La 0.000 0.000 0.000 1
Mn1 Mn 0.198 0.000 0.596 1
Rh1 Rh 0.000 0.500 0.500 1


# LaMn2Rh, optimized geometry, DFT PBE
# uncorrected energy = -7.763 eV per atom
# N(E_F) = 0.93 states/eV/atom
# energy relative to the elements = -0.11 eV per atom
data_LaMn2Rh
_symmetry_space_group_name_H-M 'R 3 m'
_symmetry_Int_Tables_number 160
_symmetry_space_group_name_Hall 'R 3 -2"'
_cell_length_a 4.1682
_cell_length_b 4.1682
_cell_length_c 16.0279
_cell_angle_alpha 90.00
_cell_angle_beta 90.00
_cell_angle_gamma 120.00
loop_
_atom_site_label
_atom_site_type_symbol
_atom_site_fract_x
_atom_site_fract_y
_atom_site_fract_z
_atom_site_occupancy
La1 La 0.0000 0.0000 0.0000 1
Mn1 Mn 0.0000 0.0000 0.1906 1
Mn2 Mn 0.0000 0.0000 0.5139 1
Rh1 Rh 0.0000 0.0000 0.7820 1


# La2Mn2Rh, optimized geometry, DFT PBE
# uncorrected energy = -6.976 eV per atom
# N(E_F) = 2.14 states/eV/atom
# energy relative to the elements = 0.13 eV per atom
data_La2Mn2Rh
_symmetry_space_group_name_H-M 'P 4/m b m'
_symmetry_Int_Tables_number 127
_symmetry_space_group_name_Hall '-P 4 2ab'
_cell_length_a 6.660
_cell_length_b 6.660
_cell_length_c 4.554
_cell_angle_alpha 90.00
_cell_angle_beta 90.00
_cell_angle_gamma 90.00
loop_
_atom_site_label
_atom_site_type_symbol
_atom_site_fract_x
_atom_site_fract_y
_atom_site_fract_z
_atom_site_occupancy
La1 La 0.189 0.311 0.000 1
Mn1 Mn 0.105 0.605 0.500 1
Rh1 Rh 0.000 0.000 0.500 1


# LaMn2Rh, optimized geometry, DFT PBE
# uncorrected energy = -7.328 eV per atom
# N(E_F) = 1.13 states/eV/atom
# energy relative to the elements = 0.33 eV per atom
data_LaMn2Rh
_symmetry_space_group_name_H-M 'I 41/a m d'
_symmetry_Int_Tables_number 141
_cell_length_a 4.276
_cell_length_b 4.276
_cell_length_c 18.637
_cell_angle_alpha 90.00
_cell_angle_beta 90.00
_cell_angle_gamma 90.00
loop_
_symmetry_equiv_pos_as_xyz
'x,y,z'
'-x,-y,-z'
'-y+1/4,x+3/4,z+1/4'
'y+1/4,-x+3/4,-z+1/4'
'-x+1/2,-y,z+1/2'
'x+1/2,y,-z+1/2'
'y+1/4,-x+1/4,z+3/4'
'-y+1/4,x+1/4,-z+3/4'
'x,-y,-z'
'-x,y,z'
'-y+1/4,-x+1/4,-z+3/4'
'y+1/4,x+1/4,z+3/4'
'-x+1/2,y,-z+1/2'
'x+1/2,-y,z+1/2'
'y+1/4,x+3/4,-z+1/4'
'-y+1/4,-x+3/4,z+1/4'
'x+1/2,y+1/2,z+1/2'
'-x+1/2,-y+1/2,-z+1/2'
'-y+3/4,x+1/4,z+3/4'
'y+3/4,-x+1/4,-z+3/4'
'-x,-y+1/2,z'
'x,y+1/2,-z'
'y+3/4,-x+3/4,z+1/4'
'-y+3/4,x+3/4,-z+1/4'
'x+1/2,-y+1/2,-z+1/2'
'-x+1/2,y+1/2,z+1/2'
'-y+3/4,-x+3/4,-z+1/4'
'y+3/4,x+3/4,z+1/4'
'-x,y+1/2,-z'
'x,-y+1/2,z'
'y+3/4,x+1/4,-z+3/4'
'-y+3/4,-x+1/4,z+3/4'
loop_
_atom_site_label
_atom_site_type_symbol
_atom_site_fract_x
_atom_site_fract_y
_atom_site_fract_z
_atom_site_occupancy
La1 La 0.000 0.250 0.375 1
Mn1 Mn 0.000 0.000 0.000 1
Rh1 Rh 0.000 0.250 0.875 1